Entry 1:
The following is a PBE calculation of BaGe5P4 after structural relaxation, from the Alexandria database.

Unit cell a=7.199 b=10.443 c=5.947 alpha=90.00 beta=90.00 gamma=90.00
Space group Pmmn (No. 59, origin choice 2)
One atom of each set of equivalent atoms:
Ba1 0.250 0.250 0.069 (multiplicity 2)
Ge1 0.047 0.543 0.294 (multiplicity 8)
Ge2 0.250 0.750 0.672 (multiplicity 2)
P1 0.025 0.250 0.550 (multiplicity 4)
P2 0.250 0.557 0.919 (multiplicity 4)

Uncorrected energy, Ha/atom: -0.1732
Fermi-level density of states, states/eV/atom: 0.38
Energy of formation, eV/atom: -0.0489



Entry 2:
The following is a PBE calculation of Pm2Dy6Er5 after structural relaxation, from the Alexandria database.

Unit cell a=11.642 b=20.086 c=3.574 alpha=90.00 beta=90.00 gamma=90.00
Space group Pbam (No. 55)
One atom of each set of equivalent atoms:
Pm1 0.166 0.214 0.000 (multiplicity 4)
Dy1 0.059 0.921 0.000 (multiplicity 4)
Dy2 0.081 0.633 0.000 (multiplicity 4)
Dy3 0.176 0.372 0.500 (multiplicity 4)
Er1 0.000 0.500 0.500 (multiplicity 2)
Er2 0.093 0.777 0.500 (multiplicity 4)
Er3 0.199 0.051 0.500 (multiplicity 4)

Uncorrected energy, Ha/atom: -0.1657
Fermi-level density of states, states/eV/atom: 1.25
Energy of formation, eV/atom: 0.0998



Entry 3:
The following is a PBE calculation of YCd2Ag6 after structural relaxation, from the Alexandria database.

Unit cell a=11.222 b=10.110 c=7.644 alpha=90.00 beta=123.00 gamma=90.00
Space group C2/c (No. 15)
One atom of each set of equivalent atoms:
Y1 0.000 0.092 0.250 (multiplicity 4)
Cd1 0.154 0.374 0.424 (multiplicity 8)
Ag1 0.074 0.364 0.987 (multiplicity 8)
Ag2 0.126 0.161 0.708 (multiplicity 8)
Ag3 0.213 0.098 0.126 (multiplicity 8)

ΔE to the lowest computed polymorph, meV/atom: 0
Uncorrected energy, Ha/atom: -0.1063
Fermi-level density of states, states/eV/atom: 0.43
Energy of formation, eV/atom: -0.0698



Entry 4:
The following is a PBE calculation of LiAlRu2 after structural relaxation, from the Alexandria database.

Unit cell a=6.684 b=6.684 c=5.115 alpha=90.00 beta=90.00 gamma=90.00
Space group I-42d (No. 122)
One atom of each set of equivalent atoms:
Li1 0.000 0.000 0.000 (multiplicity 4)
Al1 0.000 0.000 0.500 (multiplicity 4)
Ru1 0.248 0.250 0.625 (multiplicity 8)

Uncorrected energy, Ha/atom: -0.2113
Fermi-level density of states, states/eV/atom: 0.98
Energy of formation, eV/atom: 0.3018



Entry 5:
The following is a PBE calculation of Tm3Sn after structural relaxation, from the Alexandria database.

Unit cell a=7.543 b=7.543 c=7.543 alpha=90.00 beta=90.00 gamma=90.00
Space group Fm-3m (No. 225)
One atom of each set of equivalent atoms:
Tm1 0.000 0.000 0.000 (multiplicity 4)
Tm2 0.250 0.250 0.250 (multiplicity 8)
Sn1 0.000 0.000 0.500 (multiplicity 4)

Uncorrected energy, Ha/atom: -0.1673
Fermi-level density of states, states/eV/atom: 1.49
Energy of formation, eV/atom: -0.1985



Entry 6:
The following is a PBE calculation of Ho2ErZrAs4 after structural relaxation, from the Alexandria database.

Unit cell a=6.975 b=4.024 c=6.976 alpha=90.00 beta=109.30 gamma=90.00
Space group P2/m (No. 10)
One atom of each set of equivalent atoms:
Ho1 0.000 0.000 0.000 (multiplicity 1)
Ho2 0.500 0.500 0.000 (multiplicity 1)
Er1 0.000 0.500 0.500 (multiplicity 1)
Zr1 0.500 0.000 0.500 (multiplicity 1)
As1 0.254 0.000 0.745 (multiplicity 2)
As2 0.258 0.500 0.259 (multiplicity 2)

Uncorrected energy, Ha/atom: -0.2401
Fermi-level density of states, states/eV/atom: 0.18
Energy of formation, eV/atom: -1.4252